Entry 1
Entry from Alexandria via LeMat-Bulk: crystalline Na3InCl4 at its relaxed geometry (PBE).

The structure in POSCAR format:
```
Na3InCl4
1.0
-1.438 5.336 4.591
-4.148 0.700 -5.937
-5.950 -4.703 3.603
Cl Na In
8 6 2
Direct
0.487 0.748 0.613 Cl
0.513 0.252 0.387 Cl
0.501 0.718 0.145 Cl
0.999 0.282 0.145 Cl
0.987 0.748 0.387 Cl
0.499 0.282 0.855 Cl
0.013 0.252 0.613 Cl
0.001 0.718 0.855 Cl
0.250 0.500 0.382 Na
0.750 0.500 0.129 Na
0.250 0.500 0.871 Na
0.750 0.000 0.380 Na
0.750 0.500 0.618 Na
0.250 0.000 0.620 Na
0.750 0.000 0.874 In
0.250 0.000 0.126 In
```

The value obtained for the calculated volume is 414 Å³/cell. Its space-group type is P2/c, No. 13. The crystal system is monoclinic.


Entry 2
Entry from Alexandria via LeMat-Bulk: crystalline Na3InCl4 at its relaxed geometry (PBE).

The structure in POSCAR format:
```
Na3InCl4
1.0
5.967 0.000 0.000
0.000 8.557 0.000
0.000 0.000 9.849
Cl In Na
8 2 6
Direct
0.065 0.347 0.269 Cl
0.065 0.347 0.731 Cl
0.065 0.804 0.000 Cl
0.063 0.841 0.500 Cl
0.565 0.196 0.500 Cl
0.563 0.159 0.000 Cl
0.565 0.653 0.769 Cl
0.565 0.653 0.231 Cl
0.564 0.835 0.500 In
0.064 0.165 0.000 In
0.565 0.336 0.249 Na
0.065 0.664 0.749 Na
0.065 0.664 0.251 Na
0.565 0.336 0.751 Na
0.065 0.175 0.500 Na
0.565 0.825 0.000 Na
```

The value obtained for the calculated volume is 503 Å³/cell. Its space-group type is Pmmn, No. 59. The crystal system is orthorhombic.


The structure with the least stability is entry 2.


Entry 1
Entry from Alexandria via LeMat-Bulk: crystalline NaIn3Cl at its relaxed geometry (PBE).

The structure in POSCAR format:
```
NaIn3Cl
1.0
5.714 0.000 0.000
0.000 5.714 0.000
0.000 0.000 5.714
In Na Cl
3 1 1
Direct
0.000 0.000 0.500 In
0.500 0.000 0.000 In
0.000 0.500 0.000 In
0.000 0.000 0.000 Na
0.500 0.500 0.500 Cl
```

The value obtained for the calculated volume is 187 Å³/cell. Its space-group type is Pm-3m, No. 221. The crystal system is cubic.


Entry 2
Entry from Alexandria via LeMat-Bulk: crystalline NaIn3Cl at its relaxed geometry (PBE).

The structure in POSCAR format:
```
NaIn3Cl
1.0
5.752 0.000 0.000
0.000 5.752 0.000
0.000 0.000 5.752
Na Cl In
1 1 3
Direct
0.500 0.500 0.500 Na
0.000 0.000 0.000 Cl
0.000 0.000 0.500 In
0.000 0.500 0.000 In
0.500 0.000 0.000 In
```

The value obtained for the calculated volume is 190 Å³/cell. Its space-group type is Pm-3m, No. 221. The crystal system is cubic.


The structure with the least stability is entry 1.


Entry 1
Entry from Alexandria via LeMat-Bulk: crystalline Rb2NaInCl6 at its relaxed geometry (PBE).

The structure in POSCAR format:
```
Rb2NaInCl6
1.0
-2.102 4.283 -5.790
-3.431 -3.100 -5.909
-7.280 1.330 -1.234
Cl In Na Rb
6 1 1 2
Direct
0.240 0.760 0.240 Cl
0.760 0.240 0.240 Cl
0.240 0.760 0.760 Cl
0.760 0.240 0.760 Cl
0.760 0.760 0.240 Cl
0.240 0.240 0.760 Cl
0.000 0.000 0.000 In
0.500 0.500 0.500 Na
0.250 0.250 0.250 Rb
0.750 0.750 0.750 Rb
```

The value obtained for the calculated volume is 299 Å³/cell. Its space-group type is Fm-3m, No. 225. The crystal system is cubic.


Entry 2
Entry from Alexandria via LeMat-Bulk: crystalline Rb2NaInCl6 at its relaxed geometry (PBE).

The structure in POSCAR format:
```
Rb2NaInCl6
1.0
-1.544 2.361 -6.893
5.798 -3.992 -2.666
-6.386 -8.333 -1.412
Cl Na Rb In
12 2 4 2
Direct
0.059 0.493 0.762 Cl
0.199 0.226 0.029 Cl
0.441 0.993 0.738 Cl
0.273 0.701 0.031 Cl
0.301 0.726 0.471 Cl
0.941 0.507 0.238 Cl
0.727 0.299 0.969 Cl
0.773 0.799 0.531 Cl
0.559 0.007 0.262 Cl
0.699 0.274 0.529 Cl
0.227 0.201 0.469 Cl
0.801 0.774 0.971 Cl
0.500 0.000 0.000 Na
0.000 0.500 0.500 Na
0.510 0.542 0.750 Rb
0.990 0.042 0.750 Rb
0.490 0.458 0.250 Rb
0.010 0.958 0.250 Rb
0.500 0.000 0.500 In
0.000 0.500 0.000 In
```

The value obtained for the calculated volume is 594 Å³/cell. Its space-group type is P2_1/c, No. 14. The crystal system is monoclinic.


The structure with the least stability is entry 1.